A:
## KPt4 (PBE-GGA)

Data for a geometry-optimized KPt4 structure.

Cell lengths 4.917, 4.956, 4.967 Å; angles 118.05, 100.98, 100.82 degrees
Atoms (fractional coordinates):
K: 0.000 0.000 0.000
Pt: 0.286 0.436 0.752
Pt: 0.286 0.753 0.438
Pt: 0.714 0.247 0.562
Pt: 0.714 0.564 0.248

Values from the calculation:
calculated volume = 19.9 Å³ per atom

=====

B:
## KPt4 (PBE-GGA)

Data for a geometry-optimized KPt4 structure.

Cell lengths 5.201, 5.201, 5.201 Å; angles 109.47, 109.47, 109.47 degrees
Atoms (fractional coordinates):
K: 0.000 0.000 0.000
Pt: 0.000 0.000 0.500
Pt: 0.000 0.500 0.000
Pt: 0.500 0.000 0.000
Pt: 0.500 0.500 0.500

Values from the calculation:
calculated volume = 21.7 Å³ per atom

=====

Top of the stability list: A, leading by 1324 meV per atom.